Record 1
# Sc2InAs (GGA-PBE, relaxed)
data_Sc2InAs
_chemical_formula_sum 'Sc8 In4 As4'
_cell_length_a 7.074
_cell_length_b 7.074
_cell_length_c 7.074
_cell_angle_alpha 90.00
_cell_angle_beta 90.00
_cell_angle_gamma 90.00
_space_group_name_H-M_alt 'F -4 3 m'
_space_group_IT_number 216
_space_group_name_Hall 'F -4 2 3'
loop_
_atom_site_label
_atom_site_fract_x
_atom_site_fract_y
_atom_site_fract_z
Sc1 0.000 0.000 0.000
Sc2 0.250 0.250 0.250
In1 0.000 0.000 0.500
As1 0.250 0.250 0.750
# * energy of formation from the pure elements: -0.17 eV/f.u.
# * total magnetic moment: 0.016 μB per formula unit
# * DFT total energy: -20.2 eV per formula unit
# * energy above the most stable polymorph in this dataset: 0.782 eV/atom

---

Record 2
# ScIn2As (GGA-PBE, relaxed)
data_ScIn2As
_chemical_formula_sum 'Sc1 In2 As1'
_cell_length_a 4.145
_cell_length_b 4.145
_cell_length_c 5.178
_cell_angle_alpha 90.00
_cell_angle_beta 90.00
_cell_angle_gamma 90.00
_space_group_name_H-M_alt 'P 4/m m m'
_space_group_IT_number 123
_space_group_name_Hall '-P 4 2'
loop_
_atom_site_label
_atom_site_fract_x
_atom_site_fract_y
_atom_site_fract_z
Sc1 0.000 0.000 0.000
In1 0.000 0.500 0.500
As1 0.500 0.500 0.000
# * energy of formation from the pure elements: -1.34 eV/f.u.
# * total magnetic moment: 0.000 μB per formula unit
# * DFT total energy: -17.8 eV per formula unit

---

Record 3
# ScInAs2 (GGA-PBE, relaxed)
data_ScInAs2
_chemical_formula_sum 'Sc2 In2 As4'
_cell_length_a 3.972
_cell_length_b 3.972
_cell_length_c 10.598
_cell_angle_alpha 90.00
_cell_angle_beta 90.00
_cell_angle_gamma 90.00
_space_group_name_H-M_alt 'I -4 m 2'
_space_group_IT_number 119
_space_group_name_Hall 'I -4 -2'
loop_
_atom_site_label
_atom_site_fract_x
_atom_site_fract_y
_atom_site_fract_z
Sc1 0.000 0.000 0.000
In1 0.000 0.500 0.250
As1 0.000 0.000 0.500
As2 0.000 0.500 0.750
# * energy of formation from the pure elements: -1.76 eV/f.u.
# * total magnetic moment: 0.000 μB per formula unit
# * DFT total energy: -20.1 eV per formula unit

---

Record 4
# Sc3InAs (GGA-PBE, relaxed)
data_Sc3InAs
_chemical_formula_sum 'Sc3 In1 As1'
_cell_length_a 5.010
_cell_length_b 5.010
_cell_length_c 5.010
_cell_angle_alpha 90.00
_cell_angle_beta 90.00
_cell_angle_gamma 90.00
_space_group_name_H-M_alt 'P m -3 m'
_space_group_IT_number 221
_space_group_name_Hall '-P 4 2 3'
loop_
_atom_site_label
_atom_site_fract_x
_atom_site_fract_y
_atom_site_fract_z
Sc1 0.000 0.000 0.500
In1 0.500 0.500 0.500
As1 0.000 0.000 0.000
# * energy of formation from the pure elements: -2.73 eV/f.u.
# * total magnetic moment: 0.000 μB per formula unit
# * DFT total energy: -29.1 eV per formula unit
# * energy above the most stable polymorph in this dataset: 0.000 eV/atom

---

Record 5
# ScInAs (GGA-PBE, relaxed)
data_ScInAs
_chemical_formula_sum 'Sc4 In4 As4'
_cell_length_a 6.806
_cell_length_b 6.806
_cell_length_c 6.806
_cell_angle_alpha 90.00
_cell_angle_beta 90.00
_cell_angle_gamma 90.00
_space_group_name_H-M_alt 'F -4 3 m'
_space_group_IT_number 216
_space_group_name_Hall 'F -4 2 3'
loop_
_atom_site_label
_atom_site_fract_x
_atom_site_fract_y
_atom_site_fract_z
Sc1 0.000 0.000 0.000
In1 0.250 0.250 0.750
As1 0.000 0.000 0.500
# * energy of formation from the pure elements: 0.20 eV/f.u.
# * total magnetic moment: 0.000 μB per formula unit
# * DFT total energy: -13.5 eV per formula unit
# * energy above the most stable polymorph in this dataset: 0.602 eV/atom

---

Record 6
# Sc2InAs (GGA-PBE, relaxed)
data_Sc2InAs
_chemical_formula_sum 'Sc6 In3 As3'
_cell_length_a 3.2856
_cell_length_b 3.2856
_cell_length_c 30.6439
_cell_angle_alpha 90.00
_cell_angle_beta 90.00
_cell_angle_gamma 120.00
_space_group_name_H-M_alt 'R -3 m'
_space_group_IT_number 166
_space_group_name_Hall '-R 3 2"'
loop_
_atom_site_label
_atom_site_fract_x
_atom_site_fract_y
_atom_site_fract_z
Sc1 0.0000 0.0000 0.0862
In1 0.0000 0.0000 0.5000
As1 0.0000 0.0000 0.0000
# * energy of formation from the pure elements: -0.43 eV/f.u.
# * total magnetic moment: 0.000 μB per formula unit
# * DFT total energy: -20.5 eV per formula unit
# * energy above the most stable polymorph in this dataset: 0.717 eV/atom

---

Record 7
# ScInAs2 (GGA-PBE, relaxed)
data_ScInAs2
_chemical_formula_sum 'Sc4 In4 As8'
_cell_length_a 7.012
_cell_length_b 7.012
_cell_length_c 7.012
_cell_angle_alpha 90.00
_cell_angle_beta 90.00
_cell_angle_gamma 90.00
_space_group_name_H-M_alt 'F -4 3 m'
_space_group_IT_number 216
_space_group_name_Hall 'F -4 2 3'
loop_
_atom_site_label
_atom_site_fract_x
_atom_site_fract_y
_atom_site_fract_z
Sc1 0.000 0.000 0.000
In1 0.250 0.250 0.750
As1 0.000 0.000 0.500
As2 0.250 0.250 0.250
# * energy of formation from the pure elements: -0.16 eV/f.u.
# * total magnetic moment: 0.000 μB per formula unit
# * DFT total energy: -18.5 eV per formula unit

---

Record 8
# ScInAs2 (GGA-PBE, relaxed)
data_ScInAs2
_chemical_formula_sum 'Sc2 In2 As4'
_cell_length_a 6.644
_cell_length_b 6.656
_cell_length_c 3.685
_cell_angle_alpha 90.00
_cell_angle_beta 90.00
_cell_angle_gamma 90.00
_space_group_name_H-M_alt 'C m m m'
_space_group_IT_number 65
_space_group_name_Hall '-C 2 2'
loop_
_atom_site_label
_atom_site_fract_x
_atom_site_fract_y
_atom_site_fract_z
Sc1 0.000 0.000 0.000
In1 0.000 0.500 0.000
As1 0.250 0.250 0.500
# * energy of formation from the pure elements: -1.68 eV/f.u.
# * total magnetic moment: 0.000 μB per formula unit
# * DFT total energy: -20.0 eV per formula unit

---

- What is the formula in the fifth record?
  ScInAs

---

- DFT total energy of number 3 (ScInAs2)?
  -20.1 eV per formula unit

---

Please write out number 7 again, unchanged.
# ScInAs2 (GGA-PBE, relaxed)
data_ScInAs2
_chemical_formula_sum 'Sc4 In4 As8'
_cell_length_a 7.012
_cell_length_b 7.012
_cell_length_c 7.012
_cell_angle_alpha 90.00
_cell_angle_beta 90.00
_cell_angle_gamma 90.00
_space_group_name_H-M_alt 'F -4 3 m'
_space_group_IT_number 216
_space_group_name_Hall 'F -4 2 3'
loop_
_atom_site_label
_atom_site_fract_x
_atom_site_fract_y
_atom_site_fract_z
Sc1 0.000 0.000 0.000
In1 0.250 0.250 0.750
As1 0.000 0.000 0.500
As2 0.250 0.250 0.250
# * energy of formation from the pure elements: -0.16 eV/f.u.
# * total magnetic moment: 0.000 μB per formula unit
# * DFT total energy: -18.5 eV per formula unit

---

- Among the records above, which one has the highest total magnetic moment?
  number 1